Entry 1:
RbBiOs | PBE-GGA | optimized geometry

The structure in POSCAR format:
```
RbBiOs
1.0
0.000 3.719 3.719
3.719 0.000 3.719
3.719 3.719 0.000
Bi Os Rb
1 1 1
direct
0.250 0.250 0.250 Bi
0.750 0.750 0.750 Os
0.000 0.000 0.000 Rb
```

- Total moment: 0.8411 μB/atom
- Space group: No. 216
- Energy above the lowest structure with this stoichiometry: 1073 meV per atom

Entry 2:
RbBi5Os3 | PBE-GGA | optimized geometry

The structure in POSCAR format:
```
RbBi5Os3
1.0
-5.151 -1.564 2.356
1.737 -2.357 -5.095
3.902 -6.392 4.287
Bi Os Rb
5 3 1
direct
0.667 0.333 0.240 Bi
0.333 0.667 0.240 Bi
0.000 0.000 0.500 Bi
0.667 0.333 0.760 Bi
0.333 0.667 0.760 Bi
0.500 0.000 0.500 Os
0.000 0.500 0.500 Os
0.500 0.500 0.500 Os
0.000 0.000 0.000 Rb
```

- Energy: -5.6682 eV per atom
- Total moment: 0.1840 μB/atom
- Space group: No. 191

Entry 3:
Re2BiOs | PBE-GGA | optimized geometry

The structure in POSCAR format:
```
Re2BiOs
1.0
0.000 3.245 3.245
3.245 0.000 3.245
3.245 3.245 0.000
Bi Os Re
1 1 2
direct
0.500 0.500 0.500 Bi
0.250 0.250 0.250 Os
0.000 0.000 0.000 Re
0.750 0.750 0.750 Re
```

- Energy: -8.9815 eV per atom
- Total moment: 0.0106 μB/atom
- Space group: No. 216

Entry 4:
ReBiOs | PBE-GGA | optimized geometry

The structure in POSCAR format:
```
ReBiOs
1.0
1.079 -3.517 2.456
-2.034 -3.871 -0.665
2.207 -3.375 -1.818
Bi Os Re
1 1 1
direct
0.250 0.250 0.250 Bi
0.000 0.000 0.000 Os
0.750 0.750 0.750 Re
```

- Total moment: 0.0345 μB/atom
- Space group: No. 216
- Energy above the lowest structure with this stoichiometry: 149 meV per atom

Question: What is the formula in the fourth record?
Answer: ReBiOs